Entry 1:
CaTb2Sm3Te6: relaxed, PBE.

Computed properties:
D(E_F)   5.93 states/eV/cell
Formation energy without anion corrections   -1.40 eV per atom

Cell lengths 9.9098, 9.9098, 8.8913 Å; angles 103.38, 103.38, 25.72 degrees
Element x y z (fractional)
Ca (0.0000, 0.0000, 0.0000)
Tb (0.3295, 0.3295, 0.6595)
Tb (0.6705, 0.6705, 0.3405)
Sm (0.0000, 0.0000, 0.5000)
Sm (0.3339, 0.3339, 0.1747)
Sm (0.6661, 0.6661, 0.8253)
Te (0.1661, 0.1661, 0.0855)
Te (0.1661, 0.1661, 0.5783)
Te (0.4968, 0.4968, 0.7516)
Te (0.5032, 0.5032, 0.2484)
Te (0.8339, 0.8339, 0.4217)
Te (0.8339, 0.8339, 0.9145)

=====

Entry 2:
Ho2Er4Th: relaxed, PBE.

Computed properties:
D(E_F)   11.22 states/eV/cell
ΔH_f (0 K)   9 kJ/mol of atoms

Cell lengths 20.7385, 20.7385, 20.7385 Å; angles 9.73, 9.73, 9.73 degrees
Element x y z (fractional)
Ho (0.2345, 0.2345, 0.2345)
Ho (0.7655, 0.7655, 0.7655)
Er (0.1437, 0.1437, 0.1437)
Er (0.2886, 0.2886, 0.2886)
Er (0.7114, 0.7114, 0.7114)
Er (0.8563, 0.8563, 0.8563)
Th (0.0000, 0.0000, 0.0000)

=====

Entry 3:
Pm12YSi7: relaxed, PBE.

Computed properties:
D(E_F)   23.58 states/eV/cell
Formation energy without anion corrections   -0.37 eV per atom

Cell lengths 9.1135, 9.1135, 9.1135 Å; angles 110.59, 110.59, 110.59 degrees
Element x y z (fractional)
Pm (0.0000, 0.2675, 0.7325)
Pm (0.0000, 0.7325, 0.2675)
Pm (0.1677, 0.4703, 0.4703)
Pm (0.2675, 0.0000, 0.7325)
Pm (0.2675, 0.7325, 0.0000)
Pm (0.4703, 0.1677, 0.4703)
Pm (0.4703, 0.4703, 0.1677)
Pm (0.5297, 0.5297, 0.8323)
Pm (0.5297, 0.8323, 0.5297)
Pm (0.7325, 0.0000, 0.2675)
Pm (0.7325, 0.2675, 0.0000)
Pm (0.8323, 0.5297, 0.5297)
Y (0.0000, 0.0000, 0.0000)
Si (0.1315, 0.1315, 0.4608)
Si (0.1315, 0.4608, 0.1315)
Si (0.4608, 0.1315, 0.1315)
Si (0.5000, 0.5000, 0.5000)
Si (0.5392, 0.8685, 0.8685)
Si (0.8685, 0.5392, 0.8685)
Si (0.8685, 0.8685, 0.5392)

=====

Entry 4:
Ca2SiSe: relaxed, PBE.

Computed properties:
D(E_F)   1.72 states/eV/cell
Formation energy without anion corrections   -0.83 eV per atom

Cell lengths 5.9683, 5.9683, 4.5808 Å; angles 99.49, 99.49, 38.74 degrees
Element x y z (fractional)
Ca (0.0000, 0.0000, 0.0000)
Ca (0.7379, 0.7379, 0.5193)
Si (0.4664, 0.4664, 0.4771)
Se (0.2714, 0.2714, 0.0562)